Entry from Alexandria: an optimized crystal structure of Pr9Nd2Er (PBE).

* DOS(E_F): 1.72 states/eV/atom
* formation energy from the elements: 0.01 eV per atom

Unit cell a=5.2183 b=5.2183 c=15.6535 alpha=90.00 beta=90.00 gamma=90.00
With the nearest neighbours (Å) after each atom.
Fractional positions:
Pr 0.5000 0.0000 0.1644  8 Pr 3.66-3.70, 2 Er 3.66, 2 Nd 3.70
Pr 0.5000 0.5000 0.0000  8 Pr 3.66, 4 Er 3.69
Pr 0.5000 0.0000 0.5000  8 Pr 3.69-3.70, 4 Nd 3.71
Pr 0.5000 0.5000 0.3320  4 Nd 3.69, 8 Pr 3.70
Pr 0.0000 0.5000 0.1644  8 Pr 3.66-3.70, 2 Er 3.66, 2 Nd 3.70
Er 0.0000 0.0000 0.0000  12 Pr 3.66-3.69
Nd 0.0000 0.0000 0.3319  12 Pr 3.69-3.71
Pr 0.5000 0.5000 0.6680  4 Nd 3.69, 8 Pr 3.70
Pr 0.0000 0.5000 0.8356  2 Er 3.66, 8 Pr 3.66-3.70, 2 Nd 3.70
Pr 0.0000 0.5000 0.5000  8 Pr 3.69-3.70, 4 Nd 3.71
Nd 0.0000 0.0000 0.6681  12 Pr 3.69-3.71
Pr 0.5000 0.0000 0.8356  8 Pr 3.66-3.70, 2 Er 3.66, 2 Nd 3.70

Entry from Alexandria: an optimized crystal structure of Ba3Li2Mg3 (PBE).

* DOS(E_F): 0.99 states/eV/atom
* formation energy from the elements: 0.00 eV per atom

Unit cell a=6.7990 b=9.6827 c=18.3692 alpha=90.00 beta=90.00 gamma=90.00
With the nearest neighbours (Å) after each atom.
Fractional positions:
Li 0.6224 0.6141 0.1022  4 Mg 2.99-3.17
Ba 0.6093 0.3189 0.2500  5 Mg 3.65-3.96, 4 Li 3.83-3.94
Li 0.3776 0.3859 0.8978  4 Mg 2.99-3.17
Ba 0.3907 0.6811 0.7500  5 Mg 3.65-3.96, 4 Li 3.83-3.94
Mg 0.1011 0.1748 0.9654  3 Li 2.99-3.06
Ba 0.6210 0.0398 0.8935  3 Li 3.70-3.74, 7 Mg 3.76-4.06
Mg 0.8989 0.8252 0.0346  3 Li 2.99-3.06
Mg 0.3968 0.6703 0.2500  2 Li 3.17
Mg 0.6032 0.3297 0.7500  2 Li 3.17
Ba 0.1210 0.4602 0.3935  3 Li 3.70-3.74, 7 Mg 3.76-4.06
Ba 0.8790 0.5398 0.8935  3 Li 3.70-3.74, 7 Mg 3.76-4.06
Mg 0.3989 0.6748 0.9654  3 Li 2.99-3.06
Ba 0.8790 0.5398 0.6065  3 Li 3.70-3.74, 7 Mg 3.76-4.06
Li 0.6224 0.6141 0.3978  4 Mg 2.99-3.17
Li 0.1224 0.8859 0.8978  4 Mg 2.99-3.17
Li 0.1224 0.8859 0.6022  4 Mg 2.99-3.17
Li 0.3776 0.3859 0.6022  4 Mg 2.99-3.17
Mg 0.8989 0.8252 0.4654  3 Li 2.99-3.06
Mg 0.6011 0.3252 0.0346  3 Li 2.99-3.06
Mg 0.1032 0.1703 0.2500  2 Li 3.17
Ba 0.3790 0.9602 0.3935  3 Li 3.70-3.74, 7 Mg 3.76-4.06
Li 0.8776 0.1141 0.3978  4 Mg 2.99-3.17
Ba 0.1093 0.1811 0.7500  5 Mg 3.65-3.96, 4 Li 3.83-3.94
Ba 0.1210 0.4602 0.1065  3 Li 3.70-3.74, 7 Mg 3.76-4.06
Mg 0.6011 0.3252 0.4654  3 Li 2.99-3.06
Mg 0.8968 0.8297 0.7500  2 Li 3.17
Ba 0.8907 0.8189 0.2500  5 Mg 3.65-3.96, 4 Li 3.83-3.94
Ba 0.6210 0.0398 0.6065  3 Li 3.70-3.74, 7 Mg 3.76-4.06
Li 0.8776 0.1141 0.1022  4 Mg 2.99-3.17
Mg 0.1011 0.1748 0.5346  3 Li 2.99-3.06
Ba 0.3790 0.9602 0.1065  3 Li 3.70-3.74, 7 Mg 3.76-4.06
Mg 0.3989 0.6748 0.5346  3 Li 2.99-3.06

Entry from Alexandria: an optimized crystal structure of Ac6ScIn5 (PBE).

* DOS(E_F): 1.23 states/eV/atom
* formation energy from the elements: -0.31 eV per atom

Unit cell a=5.7408 b=8.3497 c=9.1543 alpha=90.00 beta=108.34 gamma=90.00
With the nearest neighbours (Å) after each atom.
Fractional positions:
Ac 0.8301 0.7511 0.6611  7 In 3.50-3.69, 1 Sc 3.60
In 0.6553 0.0000 0.3096  8 Ac 3.46-3.69
In 0.3447 0.0000 0.6904  8 Ac 3.46-3.69
In 0.3300 0.5000 0.6615  8 Ac 3.50-3.56
Sc 0.0000 0.0000 0.0000  8 Ac 3.60, 4 In 3.93
Ac 0.1699 0.2489 0.3389  7 In 3.50-3.69, 1 Sc 3.60
Ac 0.8301 0.2489 0.6611  7 In 3.50-3.69, 1 Sc 3.60
Ac 0.1699 0.7511 0.3389  7 In 3.50-3.69, 1 Sc 3.60
In 0.0000 0.5000 0.0000  8 Ac 3.50-3.62
Ac 0.5000 0.7403 0.0000  6 In 3.46-3.56, 2 Sc 3.60
Ac 0.5000 0.2597 0.0000  6 In 3.46-3.56, 2 Sc 3.60
In 0.6700 0.5000 0.3385  8 Ac 3.50-3.56

Entry from Alexandria: an optimized crystal structure of Pu3Al8Pt3 (PBE).

* DOS(E_F): 2.12 states/eV/atom
* formation energy from the elements: -0.67 eV per atom

Unit cell a=4.4789 b=8.1793 c=8.1940 alpha=66.27 beta=74.14 gamma=74.11
With the nearest neighbours (Å) after each atom.
Fractional positions:
Pu 0.7188 0.2613 0.3010  11 Al 2.99-3.26, 2 Pt 3.18
Pt 0.6500 0.7037 0.9963  5 Al 2.52-2.62
Al 0.8659 0.8417 0.4264  1 Pt 2.54, 2 Al 2.65
Pu 0.2812 0.7387 0.6990  11 Al 2.99-3.26, 2 Pt 3.18
Al 0.5076 0.6535 0.3313  3 Pt 2.53-2.67, 1 Al 2.74
Al 0.4924 0.3465 0.6687  3 Pt 2.53-2.67, 1 Al 2.74
Al 0.1341 0.1583 0.5736  1 Pt 2.54, 2 Al 2.65
Al 0.6504 0.9849 0.7143  1 Pt 2.52, 3 Al 2.65-2.74
Pt 0.3500 0.2963 0.0037  5 Al 2.52-2.62
Al 0.1521 0.5551 0.1407  4 Pt 2.59-2.71
Pt 0.0000 0.5000 0.5000  8 Al 2.54-2.71
Al 0.3496 0.0151 0.2857  1 Pt 2.52, 3 Al 2.65-2.74
Al 0.8479 0.4449 0.8593  4 Pt 2.59-2.71
Pu 0.0000 0.0000 0.0000  8 Al 3.14-3.28, 4 Pt 3.24

Entry from Alexandria: an optimized crystal structure of AlHS2 (PBE).

* DOS(E_F): 0.00 states/eV/atom
* E: -33.62 eV per cell

Unit cell a=5.0399 b=5.0399 c=6.1776 alpha=65.93 beta=65.93 gamma=90.00
With the nearest neighbours (Å) after each atom.
Fractional positions:
S 0.5955 0.1250 0.2500  2 H 2.10, 2 Al 2.27
H 0.5000 0.5000 0.0000  4 S 2.10
Al 0.7500 0.2500 0.5000  4 S 2.27
S 0.8750 0.8455 0.7500  2 H 2.10, 2 Al 2.27
H 0.2500 0.7500 0.5000  4 S 2.10
Al 0.0000 0.0000 0.0000  4 S 2.27
S 0.1545 0.6250 0.2500  2 H 2.10, 2 Al 2.27
S 0.3750 0.4045 0.7500  2 H 2.10, 2 Al 2.27

Entry from Alexandria: an optimized crystal structure of AlTlHg (PBE).

* DOS(E_F): 0.37 states/eV/atom
* formation energy from the elements: 0.13 eV per atom

Unit cell a=6.6944 b=4.4860 c=5.2702 alpha=90.00 beta=86.95 gamma=90.02
With the nearest neighbours (Å) after each atom.
Fractional positions:
Hg 0.2180 0.6983 0.7379  3 Al 2.91-3.07, 1 Tl 3.09, 2 Hg 3.16
Tl 0.7845 0.6989 0.5653  4 Al 3.05-3.21, 1 Hg 3.09
Hg 0.3660 0.1983 0.3507  4 Al 2.73-2.93
Tl 0.9451 0.1990 0.0799  3 Al 3.22-3.56, 3 Hg 3.23-3.36, 2 Tl 3.53
Al 0.5320 0.6984 0.0999  2 Al 2.69, 3 Hg 2.80-2.91
Al 0.5201 0.1985 0.8199  2 Al 2.69, 2 Hg 2.73-2.93

Entry from Alexandria: an optimized crystal structure of Bi3SbH (PBE).

* DOS(E_F): 0.76 states/eV/atom
* E: -13.47 eV per cell

Unit cell a=5.9338 b=5.9338 c=5.9338 alpha=90.00 beta=90.00 gamma=90.00
With the nearest neighbours (Å) after each atom.
Fractional positions:
Bi 0.0000 0.5000 0.0000  2 Sb 2.97
Bi 0.5000 0.0000 0.0000  2 Sb 2.97
H 0.5000 0.5000 0.5000  12 Bi 4.20
Bi 0.0000 0.0000 0.5000  2 Sb 2.97
Sb 0.0000 0.0000 0.0000  6 Bi 2.97

Entry from Alexandria: an optimized crystal structure of YCoAg (PBE).

* DOS(E_F): 0.71 states/eV/atom
* formation energy from the elements: 0.02 eV per atom

Unit cell a=4.3773 b=4.3773 c=3.6257 alpha=90.00 beta=90.00 gamma=120.00
With the nearest neighbours (Å) after each atom.
Fractional positions:
Co 0.6667 0.3333 0.1668  3 Ag 2.53
Ag 0.0000 0.0000 0.1667  3 Co 2.53
Y 0.3333 0.6667 0.6666  6 Co 3.11, 6 Ag 3.11

Entry from Alexandria: an optimized crystal structure of CsP2SO (PBE).

* DOS(E_F): 1.07 states/eV/atom
* raw formation energy: 262 kJ/mol of formula units

Unit cell a=4.1220 b=4.1220 c=7.4876 alpha=90.00 beta=90.00 gamma=90.00
With the nearest neighbours (Å) after each atom.
Fractional positions:
O 0.0000 0.0000 0.0000  4 P 2.06
P 0.5000 0.0000 0.0000  2 O 2.06
S 0.0000 0.0000 0.5000  4 Cs 2.91
P 0.0000 0.5000 0.0000  2 O 2.06
Cs 0.5000 0.5000 0.5000  4 S 2.91

Entry from Alexandria: an optimized crystal structure of CsTlSeN2 (PBE).

* DOS(E_F): 0.78 states/eV/atom
* raw formation energy: 950 kJ/mol of formula units

Unit cell a=4.5191 b=4.5191 c=7.3060 alpha=90.00 beta=90.00 gamma=90.00
With the nearest neighbours (Å) after each atom.
Fractional positions:
Se 0.0000 0.0000 0.5000  4 Tl 3.20
Cs 0.0000 0.0000 0.0000  4 N 2.26
Tl 0.5000 0.5000 0.5000  4 Se 3.20
N 0.0000 0.5000 0.0000  2 Cs 2.26
N 0.5000 0.0000 0.0000  2 Cs 2.26

Entry from Alexandria: an optimized crystal structure of SmInPb3 (PBE).

* DOS(E_F): 0.59 states/eV/atom
* formation energy from the elements: -0.21 eV per atom

Unit cell a=4.4659 b=6.1346 c=6.1495 alpha=96.96 beta=111.25 gamma=68.37
With the nearest neighbours (Å) after each atom.
Fractional positions:
Pb 0.8727 0.5550 0.3940  2 In 3.24, 3 Sm 3.40-3.45, 5 Pb 3.48-3.55
In 0.0955 0.7423 0.0269  7 Pb 3.24-3.59, 3 Sm 3.38-3.62
Pb 0.6898 0.3383 0.8163  6 Pb 3.30-3.62, 3 In 3.42-3.59, 3 Sm 3.43-3.58
Pb 0.2991 0.9512 0.6406  5 Pb 3.30-3.62, 2 In 3.34-3.36, 3 Sm 3.41-3.54
Sm 0.4967 0.1381 0.2276  3 In 3.38-3.62, 9 Pb 3.40-3.58

Entry from Alexandria: an optimized crystal structure of PrNdPu2 (PBE).

* DOS(E_F): 4.11 states/eV/atom
* formation energy from the elements: 0.23 eV per atom

Unit cell a=5.0894 b=4.9399 c=4.9399 alpha=90.00 beta=90.00 gamma=90.00
With the nearest neighbours (Å) after each atom.
Fractional positions:
Pu 0.0000 0.0000 0.5000  4 Pu 3.49, 4 Pr 3.55, 4 Nd 3.55
Pr 0.5000 0.0000 0.0000  4 Nd 3.49, 8 Pu 3.55
Pu 0.0000 0.5000 0.0000  4 Pu 3.49, 4 Pr 3.55, 4 Nd 3.55
Nd 0.5000 0.5000 0.5000  4 Pr 3.49, 8 Pu 3.55

> Look up the DOS(E_F) of the third one.

1.23 states/eV/atom

What did the ninth record say?
Entry from Alexandria: an optimized crystal structure of CsP2SO (PBE).

* DOS(E_F): 1.07 states/eV/atom
* raw formation energy: 262 kJ/mol of formula units

Unit cell a=4.1220 b=4.1220 c=7.4876 alpha=90.00 beta=90.00 gamma=90.00
With the nearest neighbours (Å) after each atom.
Fractional positions:
O 0.0000 0.0000 0.0000  4 P 2.06
P 0.5000 0.0000 0.0000  2 O 2.06
S 0.0000 0.0000 0.5000  4 Cs 2.91
P 0.0000 0.5000 0.0000  2 O 2.06
Cs 0.5000 0.5000 0.5000  4 S 2.91

> Which of these has the lowest DOS(E_F)?

AlHS2

> What is the DOS(E_F) in the third record?

1.23 states/eV/atom